Compound: SrMoO2F
Source: Alexandria via LeMat-Bulk
Functional: GGA+U
Structure: relaxed

abc: 4.644 4.644 4.477
angles: 90.00 90.00 90.00
Space group P4/mmm (No. 123)
Unique sites:
Sr (0.000, 0.000, 0.000) (multiplicity 1)
Mo (0.500, 0.500, 0.500) (multiplicity 1)
O (0.000, 0.500, 0.000) (multiplicity 2)
F (0.000, 0.000, 0.500) (multiplicity 1)

Output
crystal system = tetragonal
electronic total energy = -0.1818 Ha/atom